Entry 1:
This record from Alexandria via LeMat-Bulk describes a relaxed HoTmTl crystal. The functional is PBE.

abc: 5.3601 5.3601 6.6650
angles: 90.00 90.00 120.00
With the nearest neighbours (Å) after each atom.
Atoms (fractional coordinates):
1 Ho 0.0000 0.0000 0.0000  2 Ho 3.33, 6 Tm 3.51, 6 Tl 3.51
2 Ho 0.0000 0.0000 0.5000  2 Ho 3.33, 6 Tl 3.51, 6 Tm 3.51
3 Tm 0.3333 0.6667 0.2500  5 Tl 3.09-3.33
4 Tm 0.6667 0.3333 0.7500  5 Tl 3.09-3.33
5 Tl 0.3333 0.6667 0.7500  5 Tm 3.09-3.33
6 Tl 0.6667 0.3333 0.2500  5 Tm 3.09-3.33

ΔH_f (0 K) (meV/atom): -247.2
Distance to the lowest polymorph of the same formula (eV/atom): 0.000
Energy (eV per atom): -4.052
Space-group type: P6_3/mmc, No. 194


Entry 2:
This record from Alexandria via LeMat-Bulk describes a relaxed Ho2Tm2Tl5 crystal. The functional is PBE.

abc: 8.9405 8.9405 8.0980
angles: 90.00 90.00 53.05
With the nearest neighbours (Å) after each atom.
Atoms (fractional coordinates):
1 Ho 0.1996 0.1996 0.0000  7 Tl 3.12-3.26
2 Ho 0.3004 0.3004 0.5000  7 Tl 3.12-3.26
3 Ho 0.6996 0.6996 0.5000  7 Tl 3.12-3.26
4 Ho 0.8004 0.8004 0.0000  7 Tl 3.12-3.26
5 Tm 0.1515 0.8485 0.6549  8 Tl 3.05-3.27
6 Tm 0.3485 0.6515 0.1549  8 Tl 3.05-3.27
7 Tm 0.6515 0.3485 0.8451  8 Tl 3.05-3.27
8 Tm 0.8485 0.1515 0.3451  8 Tl 3.05-3.27
9 Tl 0.0000 0.0000 0.0000  4 Tm 3.05, 2 Ho 3.19
10 Tl 0.0129 0.7152 0.3528  3 Ho 3.12-3.26, 3 Tm 3.14-3.27, 1 Tl 3.37
11 Tl 0.2152 0.5129 0.8528  3 Ho 3.12-3.26, 3 Tm 3.14-3.27, 1 Tl 3.37
12 Tl 0.2848 0.9871 0.3528  3 Ho 3.12-3.26, 3 Tm 3.14-3.27, 1 Tl 3.37
13 Tl 0.4871 0.7848 0.8528  3 Ho 3.12-3.26, 3 Tm 3.14-3.27, 1 Tl 3.37
14 Tl 0.5000 0.5000 0.5000  4 Tm 3.05, 2 Ho 3.19
15 Tl 0.5129 0.2152 0.1472  3 Ho 3.12-3.26, 3 Tm 3.14-3.27, 1 Tl 3.37
16 Tl 0.7152 0.0129 0.6472  3 Ho 3.12-3.26, 3 Tm 3.14-3.27, 1 Tl 3.37
17 Tl 0.7848 0.4871 0.1472  3 Ho 3.12-3.26, 3 Tm 3.14-3.27, 1 Tl 3.37
18 Tl 0.9871 0.2848 0.6472  3 Ho 3.12-3.26, 3 Tm 3.14-3.27, 1 Tl 3.37

ΔH_f (0 K) (meV/atom): -157.0
Energy (eV per atom): -3.483
Space-group type: Cmce, No. 64


Entry 3:
This record from Alexandria via LeMat-Bulk describes a relaxed Ho2Tm3Tl crystal. The functional is PBE.

abc: 9.1072 9.1072 6.9500
angles: 90.00 90.00 38.81
With the nearest neighbours (Å) after each atom.
Atoms (fractional coordinates):
1 Ho 0.1387 0.1387 0.0000  2 Tl 3.17, 6 Tm 3.45-3.54, 2 Ho 3.47
2 Ho 0.1387 0.1387 0.5000  2 Tl 3.17, 6 Tm 3.45-3.54, 2 Ho 3.47
3 Ho 0.8613 0.8613 0.0000  2 Tl 3.17, 6 Tm 3.45-3.54, 2 Ho 3.47
4 Ho 0.8613 0.8613 0.5000  2 Tl 3.17, 6 Tm 3.45-3.54, 2 Ho 3.47
5 Tm 0.2999 0.3245 0.2500  5 Tm 3.43-3.70, 6 Ho 3.45-3.65, 1 Tl 3.69
6 Tm 0.3223 0.6777 0.7500  2 Tl 2.93-3.12
7 Tm 0.3245 0.2999 0.7500  5 Tm 3.43-3.70, 6 Ho 3.45-3.65, 1 Tl 3.69
8 Tm 0.6755 0.7001 0.2500  5 Tm 3.43-3.70, 6 Ho 3.45-3.65, 1 Tl 3.69
9 Tm 0.6777 0.3223 0.2500  2 Tl 2.93-3.12
10 Tm 0.7001 0.6755 0.7500  5 Tm 3.43-3.70, 6 Ho 3.45-3.65, 1 Tl 3.69
11 Tl 0.1931 0.8069 0.2500  2 Tm 2.93-3.12, 4 Ho 3.17
12 Tl 0.8069 0.1931 0.7500  2 Tm 2.93-3.12, 4 Ho 3.17

ΔH_f (0 K) (meV/atom): -49.8
Distance to the lowest polymorph of the same formula (eV/atom): 0.057
Energy (eV per atom): -4.206
Space-group type: Cmcm, No. 63


Entry 4:
This record from Alexandria via LeMat-Bulk describes a relaxed HoTm6Tl4 crystal. The functional is PBE.

abc: 9.4111 9.4111 9.4111
angles: 140.92 140.92 56.46
With the nearest neighbours (Å) after each atom.
Atoms (fractional coordinates):
1 Ho 0.0000 0.0000 0.0000  4 Tl 3.12, 4 Tm 3.15
2 Tm 0.0000 0.5000 0.5000  2 Ho 3.15, 4 Tl 3.16
3 Tm 0.0842 0.0842 0.5277  5 Tl 3.07-3.28
4 Tm 0.4435 0.9158 0.0000  5 Tl 3.07-3.28
5 Tm 0.5000 0.0000 0.5000  2 Ho 3.15, 4 Tl 3.16
6 Tm 0.5565 0.5565 0.4723  5 Tl 3.07-3.28
7 Tm 0.9158 0.4435 0.0000  5 Tl 3.07-3.28
8 Tl 0.1088 0.6209 0.0000  7 Tm 3.07-3.28, 1 Ho 3.12
9 Tl 0.3791 0.3791 0.4880  7 Tm 3.07-3.28, 1 Ho 3.12
10 Tl 0.6209 0.1088 0.0000  7 Tm 3.07-3.28, 1 Ho 3.12
11 Tl 0.8912 0.8912 0.5120  7 Tm 3.07-3.28, 1 Ho 3.12

ΔH_f (0 K) (meV/atom): -94.6
Energy (eV per atom): -3.810
Space-group type: I-42m, No. 121


Entry 5:
This record from Alexandria via LeMat-Bulk describes a relaxed Ho2Tm3Tl7 crystal. The functional is PBE.

abc: 13.1056 13.1056 5.3316
angles: 90.00 90.00 156.89
With the nearest neighbours (Å) after each atom.
Atoms (fractional coordinates):
1 Ho 0.1531 0.8469 0.0000  7 Tl 3.13-3.30
2 Ho 0.8469 0.1531 0.0000  7 Tl 3.13-3.30
3 Tm 0.3499 0.6501 0.5000  6 Tl 3.16-3.28
4 Tm 0.5000 0.5000 0.5000  8 Tl 3.29-3.36
5 Tm 0.6501 0.3499 0.5000  6 Tl 3.16-3.28
6 Tl 0.0000 0.0000 0.0000  8 Tl 3.26-3.39
7 Tl 0.0814 0.9186 0.5000  4 Tm 3.16-3.36, 2 Ho 3.24, 2 Tl 3.39
8 Tl 0.2802 0.7198 0.0000  2 Tl 3.05, 3 Ho 3.13-3.26, 2 Tm 3.21
9 Tl 0.4246 0.5754 0.0000  2 Tl 3.26, 4 Tm 3.28-3.29, 2 Ho 3.30
10 Tl 0.5754 0.4246 0.0000  2 Tl 3.26, 4 Tm 3.28-3.29, 2 Ho 3.30
11 Tl 0.7198 0.2802 0.0000  2 Tl 3.05, 3 Ho 3.13-3.26, 2 Tm 3.21
12 Tl 0.9186 0.0814 0.5000  4 Tm 3.16-3.36, 2 Ho 3.24, 2 Tl 3.39

ΔH_f (0 K) (meV/atom): -53.2
Energy (eV per atom): -3.314
Space-group type: Cmmm, No. 65


Entry 6:
This record from Alexandria via LeMat-Bulk describes a relaxed Ho5Tm3Tl crystal. The functional is PBE.

abc: 9.3951 9.3951 9.3951
angles: 121.60 121.60 87.25
With the nearest neighbours (Å) after each atom.
Atoms (fractional coordinates):
1 Ho 0.0000 0.0000 0.0000  6 Tm 3.40-3.69, 8 Ho 3.79
2 Ho 0.0586 0.5586 0.8828  1 Tl 2.95, 1 Tm 3.11
3 Ho 0.1758 0.0586 0.5000  1 Tl 2.95, 1 Tm 3.11
4 Ho 0.3242 0.8242 0.8828  1 Tl 2.95, 1 Tm 3.11
5 Ho 0.4414 0.3242 0.5000  1 Tl 2.95, 1 Tm 3.11
6 Ho 0.5000 0.5000 0.0000  6 Tm 3.40-3.69, 8 Ho 3.79
7 Ho 0.5586 0.6758 0.5000  1 Tl 2.95, 1 Tm 3.11
8 Ho 0.6758 0.1758 0.1172  1 Tl 2.95, 1 Tm 3.11
9 Ho 0.8242 0.9414 0.5000  1 Tl 2.95, 1 Tm 3.11
10 Ho 0.9414 0.4414 0.1172  1 Tl 2.95, 1 Tm 3.11
11 Tm 0.1135 0.3865 0.5000  1 Tm 2.94, 2 Ho 3.11
12 Tm 0.2500 0.2500 0.0000  10 Ho 3.40-3.69
13 Tm 0.3865 0.8865 0.2729  1 Tm 2.94, 2 Ho 3.11
14 Tm 0.6135 0.1135 0.7271  1 Tm 2.94, 2 Ho 3.11
15 Tm 0.7500 0.7500 0.0000  10 Ho 3.40-3.69
16 Tm 0.8865 0.6135 0.5000  1 Tm 2.94, 2 Ho 3.11
17 Tl 0.2500 0.7500 0.5000  4 Ho 2.95
18 Tl 0.7500 0.2500 0.5000  4 Ho 2.95

ΔH_f (0 K) (meV/atom): 214.9
Energy (eV per atom): -4.082
Space-group type: I4/mcm, No. 140


Q: ΔH_f (0 K) of number 5 (Ho2Tm3Tl7)?
A: -53.2 meV/atom


Q: Which value of energy does entry 6 give?
A: -4.082 eV per atom


Please write out number 1 again, unchanged.
This record from Alexandria via LeMat-Bulk describes a relaxed HoTmTl crystal. The functional is PBE.

abc: 5.3601 5.3601 6.6650
angles: 90.00 90.00 120.00
With the nearest neighbours (Å) after each atom.
Atoms (fractional coordinates):
1 Ho 0.0000 0.0000 0.0000  2 Ho 3.33, 6 Tm 3.51, 6 Tl 3.51
2 Ho 0.0000 0.0000 0.5000  2 Ho 3.33, 6 Tl 3.51, 6 Tm 3.51
3 Tm 0.3333 0.6667 0.2500  5 Tl 3.09-3.33
4 Tm 0.6667 0.3333 0.7500  5 Tl 3.09-3.33
5 Tl 0.3333 0.6667 0.7500  5 Tm 3.09-3.33
6 Tl 0.6667 0.3333 0.2500  5 Tm 3.09-3.33

ΔH_f (0 K) (meV/atom): -247.2
Distance to the lowest polymorph of the same formula (eV/atom): 0.000
Energy (eV per atom): -4.052
Space-group type: P6_3/mmc, No. 194